CsMg2In10, optimized geometry, DFT PBE-GGA; density of states at the Fermi level = 0.4356 states/eV/atom; formation energy from the elements = -38 meV/atom; magnetic moment = 0.0 μB per formula unit; theoretical density = 5.96 g/cm³; space-group type = No. 69
1.0
5.614 0.000 2.989
2.807 7.510 1.495
-0.838 0.000 8.341
Mg In Cs
2 10 1
Cartesian
2.388 0.000 5.665
-0.419 0.000 4.170
5.606 5.849 9.771
1.977 1.661 3.053
4.785 5.849 4.548
4.295 2.632 5.468
0.482 2.632 5.862
1.404 3.755 0.747
4.211 3.755 2.242
2.799 1.661 8.276
3.289 4.878 7.356
7.102 4.878 6.962
0.000 0.000 0.000